# LiTaNO, optimized geometry, DFT PBE
data_LiTaNO
_cell_length_a 4.263
_cell_length_b 4.263
_cell_length_c 4.131
_cell_angle_alpha 90.00
_cell_angle_beta 90.00
_cell_angle_gamma 90.00
_symmetry_space_group_name_H-M 'P 4/n m m'
_symmetry_Int_Tables_number 129
loop_
_symmetry_equiv_pos_as_xyz
'x,y,z'
'-x,-y,-z'
'-y+1/2,x,z'
'y+1/2,-x,-z'
'-x+1/2,-y+1/2,z'
'x+1/2,y+1/2,-z'
'y,-x+1/2,z'
'-y,x+1/2,-z'
'x+1/2,-y,-z'
'-x+1/2,y,z'
'-y,-x,-z'
'y,x,z'
'-x,y+1/2,-z'
'x,-y+1/2,z'
'y+1/2,x+1/2,-z'
'-y+1/2,-x+1/2,z'
loop_
_atom_site_label
_atom_site_fract_x
_atom_site_fract_y
_atom_site_fract_z
Li1 0.250 0.250 0.003
Ta1 0.250 0.750 0.500
N1 0.250 0.250 0.502
O1 0.250 0.750 0.000
# Energy in eV per atom: -8.537
# Relative energy among the computed polymorphs in eV per atom: 0.001